No. 1
DFT (GGA-PBE) results for an optimized crystal structure of Tl2FeTc.

Cell: 3.0164 3.0164 8.8781 Å, 90.00 90.00 90.00°
Atoms (fractional coordinates):
1 Tl 0.0000 0.0000 0.0000
2 Tl 0.5000 0.5000 0.3588
3 Fe 0.0000 0.0000 0.6024
4 Tc 0.5000 0.5000 0.7456

Values from the calculation:
energy of formation: 0.476 eV per atom
E: -21.66 eV for the cell shown

No. 2
DFT (GGA-PBE) results for an optimized crystal structure of SmHoBeCu.

Cell: 4.9160 4.9160 4.9160 Å, 60.00 60.00 60.00°
Atoms (fractional coordinates):
1 Sm 0.0000 0.0000 0.0000
2 Ho 0.5000 0.5000 0.5000
3 Be 0.2500 0.2500 0.2500
4 Cu 0.7500 0.7500 0.7500

Values from the calculation:
energy of formation: -0.033 eV per atom
E: -17.25 eV for the cell shown

No. 3
DFT (GGA-PBE) results for an optimized crystal structure of TiMnNbRh.

Cell: 4.3785 4.3785 4.3785 Å, 60.00 60.00 60.00°
Atoms (fractional coordinates):
1 Ti 0.0000 0.0000 0.0000
2 Mn 0.2500 0.2500 0.2500
3 Nb 0.5000 0.5000 0.5000
4 Rh 0.7500 0.7500 0.7500

Values from the calculation:
energy of formation: -0.332 eV per atom
E: -35.81 eV for the cell shown

No. 4
DFT (GGA-PBE) results for an optimized crystal structure of AcNd8Tm6.

Cell: 9.5501 9.5501 6.6407 Å, 90.00 90.00 120.00°
Atoms (fractional coordinates):
1 Ac 0.0000 0.0000 0.0000
2 Nd 0.0173 0.6878 0.3928
3 Nd 0.3122 0.3295 0.3928
4 Nd 0.3295 0.0173 0.6072
5 Nd 0.3333 0.6667 0.6749
6 Nd 0.6667 0.3333 0.3251
7 Nd 0.6705 0.9827 0.3928
8 Nd 0.6878 0.6705 0.6072
9 Nd 0.9827 0.3122 0.6072
10 Tm 0.0909 0.4158 0.1033
11 Tm 0.3250 0.9091 0.1033
12 Tm 0.4158 0.3250 0.8967
13 Tm 0.5842 0.6750 0.1033
14 Tm 0.6750 0.0909 0.8967
15 Tm 0.9091 0.5842 0.8967

Values from the calculation:
energy of formation: 0.207 eV per atom
E: -65.98 eV for the cell shown

No. 5
DFT (GGA-PBE) results for an optimized crystal structure of Pm3Pr12Bi5.

Cell: 16.5413 16.5413 16.5413 Å, 109.47 109.47 109.47°
Atoms (fractional coordinates):
1 Pm 0.1250 0.2500 0.3750
2 Pm 0.1250 0.3750 0.7500
3 Pm 0.2500 0.3750 0.1250
4 Pm 0.2500 0.8750 0.6250
5 Pm 0.3750 0.1250 0.2500
6 Pm 0.3750 0.7500 0.1250
7 Pm 0.6250 0.2500 0.8750
8 Pm 0.6250 0.8750 0.7500
9 Pm 0.7500 0.1250 0.3750
10 Pm 0.7500 0.6250 0.8750
11 Pm 0.8750 0.6250 0.2500
12 Pm 0.8750 0.7500 0.6250
13 Pr 0.0529 0.2241 0.1233
14 Pr 0.0529 0.3288 0.9297
15 Pr 0.0703 0.6233 0.3991
16 Pr 0.0703 0.9471 0.6712
17 Pr 0.1009 0.7241 0.6712
18 Pr 0.1009 0.8767 0.4297
19 Pr 0.1233 0.0529 0.2241
20 Pr 0.1233 0.5703 0.8991
21 Pr 0.1712 0.2241 0.6009
22 Pr 0.1712 0.4471 0.5703
23 Pr 0.2241 0.1233 0.0529
24 Pr 0.2241 0.6009 0.1712
25 Pr 0.2759 0.3288 0.8991
26 Pr 0.2759 0.4471 0.3767
27 Pr 0.3288 0.8991 0.2759
28 Pr 0.3288 0.9297 0.0529
29 Pr 0.3767 0.2759 0.4471
30 Pr 0.3767 0.6009 0.9297
31 Pr 0.3991 0.0703 0.6233
32 Pr 0.3991 0.8288 0.7759
33 Pr 0.4297 0.1009 0.8767
34 Pr 0.4297 0.8288 0.5529
35 Pr 0.4471 0.3767 0.2759
36 Pr 0.4471 0.5703 0.1712
37 Pr 0.5529 0.4297 0.8288
38 Pr 0.5529 0.6233 0.7241
39 Pr 0.5703 0.1712 0.4471
40 Pr 0.5703 0.8991 0.1233
41 Pr 0.6009 0.1712 0.2241
42 Pr 0.6009 0.9297 0.3767
43 Pr 0.6233 0.3991 0.0703
44 Pr 0.6233 0.7241 0.5529
45 Pr 0.6712 0.0703 0.9471
46 Pr 0.6712 0.1009 0.7241
47 Pr 0.7241 0.5529 0.6233
48 Pr 0.7241 0.6712 0.1009
49 Pr 0.7759 0.3991 0.8288
50 Pr 0.7759 0.8767 0.9471
51 Pr 0.8288 0.5529 0.4297
52 Pr 0.8288 0.7759 0.3991
53 Pr 0.8767 0.4297 0.1009
54 Pr 0.8767 0.9471 0.7759
55 Pr 0.8991 0.1233 0.5703
56 Pr 0.8991 0.2759 0.3288
57 Pr 0.9297 0.0529 0.3288
58 Pr 0.9297 0.3767 0.6009
59 Pr 0.9471 0.6712 0.0703
60 Pr 0.9471 0.7759 0.8767
61 Bi 0.0000 0.0000 0.0000
62 Bi 0.0000 0.0000 0.5000
63 Bi 0.0000 0.5000 0.0000
64 Bi 0.0000 0.5000 0.5000
65 Bi 0.1250 0.7500 0.8750
66 Bi 0.1250 0.8750 0.2500
67 Bi 0.2500 0.1250 0.8750
68 Bi 0.2500 0.6250 0.3750
69 Bi 0.3750 0.2500 0.6250
70 Bi 0.3750 0.6250 0.7500
71 Bi 0.5000 0.0000 0.0000
72 Bi 0.5000 0.0000 0.5000
73 Bi 0.5000 0.5000 0.0000
74 Bi 0.5000 0.5000 0.5000
75 Bi 0.6250 0.3750 0.2500
76 Bi 0.6250 0.7500 0.3750
77 Bi 0.7500 0.3750 0.6250
78 Bi 0.7500 0.8750 0.1250
79 Bi 0.8750 0.1250 0.7500
80 Bi 0.8750 0.2500 0.1250

Values from the calculation:
energy of formation: 0.145 eV per atom
E: -352.45 eV for the cell shown

No. 6
DFT (GGA-PBE) results for an optimized crystal structure of RbGaO2.

Cell: 3.2538 5.8102 7.5829 Å, 91.16 102.32 106.14°
Atoms (fractional coordinates):
1 Rb 0.0000 0.0000 0.0000
2 Rb 0.0917 0.4637 0.7203
3 Ga 0.2366 0.9970 0.4714
4 Ga 0.3888 0.5260 0.2442
5 O 0.3450 0.9769 0.7102
6 O 0.3704 0.3169 0.4203
7 O 0.6040 0.8535 0.3483
8 O 0.8070 0.5006 0.1055

Values from the calculation:
E: -41.15 eV for the cell shown
raw formation energy: -6.7 eV/f.u.